A plane-wave DFT calculation with PBE with a Hubbard U was carried out for crystalline Li4Nb2Co3Sb3O16 at its relaxed geometry.

Results
Total magnetic moment ... 6.72 μB per formula unit
Final energy ... -182.14 eV for the cell shown

The structure in POSCAR format:
```
Li4Nb2Co3Sb3O16
1.0
6.170 0.000 0.000
3.005 5.469 0.000
0.247 -0.091 9.936
Li Nb Co Sb O
4 2 3 3 16
Direct
0.000 0.000 0.000
0.000 0.007 0.513
0.369 0.319 0.421
0.692 0.680 0.913
0.350 0.375 0.994
0.704 0.665 0.514
0.189 0.667 0.721
0.679 0.183 0.730
0.853 0.830 0.226
0.195 0.176 0.731
0.362 0.842 0.235
0.847 0.343 0.226
0.013 0.004 0.814
0.056 0.479 0.854
0.148 0.201 0.102
0.148 0.669 0.096
0.366 0.336 0.622
0.367 0.828 0.594
0.483 0.055 0.868
0.490 0.506 0.868
0.544 0.509 0.354
0.563 0.946 0.360
0.667 0.210 0.106
0.710 0.658 0.121
0.855 0.344 0.606
0.858 0.820 0.601
0.966 0.031 0.326
0.984 0.492 0.357
```